The following is a DFT calculation (GGA-PBEsol) of NaNdP4O12 after structural relaxation.

Results
Its raw formation energy is -2.460 eV per atom.

Unit cell a=7.2274 b=13.1624 c=12.2366 alpha=90.00 beta=125.67 gamma=90.00
Fractional coordinates of all 72 atoms:
Na: 0.0641 0.2231 0.0649
Na: 0.0641 0.2769 0.5649
Na: 0.9359 0.7231 0.4351
Na: 0.9359 0.7769 0.9351
Nd: 0.4634 0.2193 0.9771
Nd: 0.4634 0.2807 0.4771
Nd: 0.5366 0.7193 0.5229
Nd: 0.5366 0.7807 0.0229
P: 0.0070 0.6015 0.2581
P: 0.0070 0.8985 0.7581
P: 0.1127 0.6153 0.7340
P: 0.1127 0.8847 0.2340
P: 0.3411 0.6279 0.1952
P: 0.3411 0.8721 0.6952
P: 0.4292 0.0909 0.6990
P: 0.4292 0.4091 0.1990
P: 0.5708 0.5909 0.8010
P: 0.5708 0.9091 0.3010
P: 0.6589 0.1279 0.3048
P: 0.6589 0.3721 0.8048
P: 0.8873 0.1153 0.7660
P: 0.8873 0.3847 0.2660
P: 0.9930 0.1015 0.2419
P: 0.9930 0.3985 0.7419
O: 0.0711 0.5135 0.7868
O: 0.0711 0.9865 0.2868
O: 0.0944 0.1470 0.9002
O: 0.0944 0.3530 0.4002
O: 0.0944 0.6242 0.1669
O: 0.0944 0.8758 0.6669
O: 0.1928 0.6094 0.4061
O: 0.1928 0.8906 0.9061
O: 0.2018 0.1652 0.2940
O: 0.2018 0.3348 0.7940
O: 0.2133 0.6891 0.8476
O: 0.2133 0.8109 0.3476
O: 0.2980 0.5811 0.7084
O: 0.2980 0.9189 0.2084
O: 0.3207 0.7096 0.1034
O: 0.3207 0.7904 0.6034
O: 0.3444 0.1615 0.5828
O: 0.3444 0.3385 0.0828
O: 0.3515 0.5213 0.1353
O: 0.3515 0.9787 0.6353
O: 0.3593 0.1114 0.7906
O: 0.3593 0.3886 0.2906
O: 0.4764 0.1340 0.1569
O: 0.4764 0.3660 0.6569
O: 0.5236 0.6340 0.3431
O: 0.5236 0.8660 0.8431
O: 0.6407 0.6114 0.7094
O: 0.6407 0.8886 0.2094
O: 0.6485 0.0213 0.3647
O: 0.6485 0.4787 0.8647
O: 0.6556 0.6615 0.9172
O: 0.6556 0.8385 0.4172
O: 0.6793 0.2096 0.3966
O: 0.6793 0.2904 0.8966
O: 0.7020 0.0811 0.7916
O: 0.7020 0.4189 0.2916
O: 0.7867 0.1891 0.6524
O: 0.7867 0.3109 0.1524
O: 0.7982 0.6652 0.2060
O: 0.7982 0.8348 0.7060
O: 0.8072 0.1094 0.0939
O: 0.8072 0.3906 0.5939
O: 0.9056 0.1242 0.3331
O: 0.9056 0.3758 0.8331
O: 0.9056 0.6470 0.5998
O: 0.9056 0.8530 0.0998
O: 0.9289 0.0135 0.7132
O: 0.9289 0.4865 0.2132

The following is a DFT calculation (GGA-PBEsol) of Cr2OsPb after structural relaxation.

Results
The energy of formation comes out at 649 meV per atom.

Unit cell a=2.9724 b=2.9724 c=6.7972 alpha=90.00 beta=90.00 gamma=90.00
Fractional coordinates of all 4 atoms:
Cr: 0.0000 0.0000 0.0000
Cr: 0.5000 0.5000 0.1753
Os: 0.0000 0.0000 0.3896
Pb: 0.5000 0.5000 0.7055

The following is a DFT calculation (GGA-PBEsol) of ZrAsCl2 after structural relaxation.

Results
Its raw formation energy is -0.849 eV per atom. The value obtained for the energy above the most stable polymorph in this dataset is 0 meV/atom.

Unit cell a=3.1360 b=3.1360 c=31.9435 alpha=90.00 beta=90.00 gamma=120.00
Fractional coordinates of all 12 atoms:
Zr: 0.0000 0.0000 0.0000
Zr: 0.3333 0.6667 0.6667
Zr: 0.6667 0.3333 0.3333
As: 0.0000 0.0000 0.5000
As: 0.3333 0.6667 0.1667
As: 0.6667 0.3333 0.8333
Cl: 0.0000 0.0000 0.2762
Cl: 0.0000 0.0000 0.7238
Cl: 0.3333 0.6667 0.3904
Cl: 0.3333 0.6667 0.9429
Cl: 0.6667 0.3333 0.0571
Cl: 0.6667 0.3333 0.6096